# PBE LiHo2SiPt6, optimized geometry
data_LiHo2SiPt6
_symmetry_space_group_name_H-M 'P 1'
_symmetry_Int_Tables_number 1
_symmetry_space_group_name_Hall 'P 1'
_cell_length_a 5.583
_cell_length_b 5.583
_cell_length_c 7.771
_cell_angle_alpha 110.89
_cell_angle_beta 110.89
_cell_angle_gamma 60.05
loop_
_atom_site_label
_atom_site_type_symbol
_atom_site_fract_x
_atom_site_fract_y
_atom_site_fract_z
_atom_site_occupancy
Li1 Li 0.000 0.000 0.000 1
Ho1 Ho 0.296 0.296 0.888 1
Ho2 Ho 0.704 0.704 0.112 1
Si1 Si 0.500 0.500 0.500 1
Pt1 Pt 0.235 0.750 0.736 1
Pt2 Pt 0.250 0.250 0.265 1
Pt3 Pt 0.250 0.765 0.264 1
Pt4 Pt 0.750 0.235 0.736 1
Pt5 Pt 0.750 0.750 0.735 1
Pt6 Pt 0.765 0.250 0.264 1
# Formation energy (no corrections): -0.88 eV/atom
# Space group: C2/m